(1)
Compound: PuZn2Rh
Source: the Alexandria database
Functional: PBE-GGA
Structure: relaxed

Results
* total magnetization: 1.4074 μB/atom
* uncorrected energy: -25.285 eV per cell

abc: 3.0474 3.0474 7.4404
angles: 90.00 90.00 90.00
With the nearest neighbours (Å) after each atom.
Space group P4/mmm (No. 123)
Symmetry-distinct sites (fractional):
1 Pu 0.0000 0.0000 0.0000 [1 per cell]  4 Pu 3.05, 8 Zn 3.12
2 Zn 0.5000 0.5000 0.3034 [2 per cell]  4 Rh 2.60
3 Rh 0.0000 0.0000 0.5000 [1 per cell]  8 Zn 2.60

---

(2)
Compound: Pu3Zn2Rh3
Source: the Alexandria database
Functional: PBE-GGA
Structure: relaxed

Results
* total magnetization: 1.9688 μB/atom
* uncorrected energy: -141.707 eV per cell

abc: 7.9795 7.9795 5.5203
angles: 90.00 90.00 120.00
With the nearest neighbours (Å) after each atom.
Space group P6_3/mcm (No. 193)
Symmetry-distinct sites (fractional):
1 Pu 0.0000 0.2591 0.2500 [6 per cell]  5 Rh 2.72-2.98
2 Zn 0.3333 0.6667 0.0000 [4 per cell]  2 Zn 2.76, 6 Rh 2.80
3 Rh 0.0000 0.4006 0.7500 [6 per cell]  5 Pu 2.72-2.98, 4 Zn 2.80

---

Copy entry 2 word for word.
Compound: Pu3Zn2Rh3
Source: the Alexandria database
Functional: PBE-GGA
Structure: relaxed

Results
* total magnetization: 1.9688 μB/atom
* uncorrected energy: -141.707 eV per cell

abc: 7.9795 7.9795 5.5203
angles: 90.00 90.00 120.00
With the nearest neighbours (Å) after each atom.
Space group P6_3/mcm (No. 193)
Symmetry-distinct sites (fractional):
1 Pu 0.0000 0.2591 0.2500 [6 per cell]  5 Rh 2.72-2.98
2 Zn 0.3333 0.6667 0.0000 [4 per cell]  2 Zn 2.76, 6 Rh 2.80
3 Rh 0.0000 0.4006 0.7500 [6 per cell]  5 Pu 2.72-2.98, 4 Zn 2.80